1.
{"formula": "NdSm6Er2Th3", "functional": "PBE", "state": "optimized geometry", "formation_energy_ev_per_atom": 0.033, "lattice": [[-1.3856, -0.0511, -6.0750], [-4.5399, -0.5583, 4.2314], [0.7156, 11.8993, 0.8046]], "species": ["Er", "Er", "Sm", "Sm", "Sm", "Sm", "Sm", "Sm", "Th", "Th", "Th", "Nd"], "fractional_positions": [[0.3332, 0.6668, 0.0000], [0.6668, 0.3332, 0.0000], [0.2496, 0.2496, 0.7458], [0.9153, 0.5811, 0.7457], [0.0847, 0.4189, 0.2543], [0.7504, 0.7504, 0.2542], [0.5811, 0.9153, 0.7457], [0.4189, 0.0847, 0.2543], [0.5000, 0.5000, 0.5000], [0.8336, 0.1664, 0.5000], [0.1664, 0.8336, 0.5000], [0.0000, 0.0000, 0.0000]]}



2.
{"formula": "TmNiC2", "functional": "PBE", "state": "optimized geometry", "formation_energy_ev_per_atom": -0.347, "lattice": [[-1.5777, -0.9961, 3.2403], [3.5390, -1.1949, 0.1710], [0.9631, 3.0540, 1.4078]], "species": ["Tm", "Ni", "C", "C"], "fractional_positions": [[0.9973, 0.0027, 0.0000], [0.3861, 0.6139, 0.5000], [0.5445, 0.1499, 0.5000], [0.8501, 0.4555, 0.5000]]}



3.
{"formula": "Sn8Pt2Rh", "functional": "PBE", "state": "optimized geometry", "formation_energy_ev_per_atom": -0.196, "lattice": [[5.2618, -0.0162, 0.1803], [-0.1369, 7.6185, -4.5538], [0.1959, -0.5757, 7.8983]], "species": ["Rh", "Sn", "Sn", "Sn", "Sn", "Sn", "Sn", "Sn", "Sn", "Pt", "Pt"], "fractional_positions": [[0.0000, 0.0000, 0.0000], [0.7253, 0.8390, 0.6730], [0.7067, 0.2927, 0.1699], [0.2492, 0.5900, 0.1737], [0.7012, 0.8816, 0.1805], [0.2988, 0.1184, 0.8195], [0.2933, 0.7073, 0.8301], [0.2747, 0.1610, 0.3270], [0.7508, 0.4100, 0.8263], [0.2468, 0.3652, 0.7318], [0.7532, 0.6348, 0.2682]]}



4.
{"formula": "NdPa3Tl3Te8", "functional": "PBE", "state": "optimized geometry", "e_form_raw_kj_per_mol_atoms": -73.6, "lattice": [[8.7471, 0.0000, 0.0002], [-4.3735, 7.5748, -0.0309], [-0.0008, -5.0159, 8.4410]], "species": ["Pa", "Pa", "Pa", "Nd", "Te", "Te", "Te", "Te", "Te", "Te", "Te", "Te", "Tl", "Tl", "Tl"], "fractional_positions": [[0.0000, 0.5000, 0.5000], [0.5000, 0.0000, 0.5000], [0.5000, 0.5000, 0.5000], [0.0000, 0.0000, 0.5000], [0.7396, 0.4792, 0.7188], [0.7550, 0.5099, 0.2800], [0.7550, 0.0250, 0.2800], [0.7300, 0.9750, 0.7200], [0.2450, 0.4901, 0.7200], [0.2450, 0.9750, 0.7200], [0.2604, 0.5208, 0.2812], [0.2700, 0.0250, 0.2800], [0.0000, 0.5000, 0.0000], [0.5000, 0.5000, 0.0000], [0.0000, 0.0000, 0.0000]]}



5.
{"formula": "La6Ag2NO", "functional": "PBE", "state": "optimized geometry", "e_form_raw_kj_per_mol_atoms": -91.9, "lattice": [[-1.7999, 3.6679, -5.6946], [-3.0938, -5.9844, -2.8766], [-8.8255, 2.4677, 4.3583]], "species": ["La", "La", "La", "La", "La", "La", "La", "La", "La", "La", "La", "La", "Ag", "Ag", "Ag", "Ag", "O", "O", "N", "N"], "fractional_positions": [[0.7070, 0.2804, 0.5403], [0.2070, 0.2196, 0.0403], [0.7930, 0.7804, 0.9597], [0.2930, 0.7196, 0.4597], [0.2877, 0.7148, 0.0409], [0.2123, 0.2148, 0.4591], [0.5868, 0.0181, 0.2532], [0.7877, 0.7852, 0.5409], [0.9132, 0.5181, 0.2468], [0.4132, 0.9819, 0.7468], [0.0868, 0.4819, 0.7532], [0.7123, 0.2852, 0.9591], [0.5266, 0.5466, 0.7502], [0.9734, 0.0466, 0.7498], [0.0266, 0.9534, 0.2502], [0.4734, 0.4534, 0.2498], [0.5000, 0.0000, 0.0000], [0.0000, 0.5000, 0.5000], [0.5000, 0.0000, 0.5000], [0.0000, 0.5000, 0.0000]]}



6.
{"formula": "Pr3Y8Tm", "functional": "PBE", "state": "optimized geometry", "formation_energy_ev_per_atom": 0.618, "lattice": [[7.6429, -0.4436, -3.5976], [-4.4550, 7.0816, -1.2475], [-0.2791, 0.4436, 8.4426]], "species": ["Y", "Y", "Y", "Y", "Y", "Y", "Y", "Y", "Pr", "Pr", "Pr", "Tm"], "fractional_positions": [[0.0000, 0.2562, 0.7724], [0.0000, 0.6301, 0.8815], [0.0000, 0.7724, 0.2562], [0.4839, 0.2276, 0.2276], [0.5161, 0.7438, 0.7438], [0.0000, 0.8815, 0.6301], [0.2514, 0.3699, 0.3699], [0.7486, 0.1185, 0.1185], [0.5000, 0.2500, 0.7500], [0.5000, 0.7500, 0.2500], [0.0000, 0.5000, 0.5000], [0.0000, 0.0000, 0.0000]]}



7.
{"formula": "Al2CrSb", "functional": "PBE", "state": "optimized geometry", "e_form_raw_kj_per_mol_atoms": 20.5, "lattice": [[3.0942, 0.0000, 0.0000], [0.0000, 3.8319, 0.0000], [0.0000, 0.0000, 6.0876]], "species": ["Al", "Al", "Sb", "Cr"], "fractional_positions": [[0.5000, 0.5000, 0.2642], [0.0000, 0.0000, 0.0361], [0.5000, 0.5000, 0.7325], [0.0000, 0.0000, 0.4672]]}



8.
{"formula": "KRbCu2F", "functional": "PBE", "state": "optimized geometry", "e_form_raw_kj_per_mol_atoms": -9.6, "lattice": [[-1.3747, -2.7000, -4.5325], [2.7546, -3.6929, 1.3643], [-4.2503, -2.2081, 2.6044]], "species": ["K", "Rb", "Cu", "Cu", "F"], "fractional_positions": [[0.0000, 0.5000, 0.0000], [0.5000, 0.5000, 0.5000], [0.5000, 0.0000, 0.0000], [0.0000, 0.0000, 0.5000], [0.0000, 0.0000, 0.0000]]}



9.
{"formula": "Tm2Be3InPt4", "functional": "PBE", "state": "optimized geometry", "formation_energy_ev_per_atom": -0.842, "lattice": [[-3.5826, 0.3039, 1.8007], [0.1489, -3.9033, 0.9550], [4.6668, 2.3528, 8.8880]], "species": ["Tm", "Tm", "Pt", "Pt", "Pt", "Pt", "Be", "Be", "Be", "In"], "fractional_positions": [[0.5000, 0.0000, 0.2308], [0.0000, 0.5000, 0.7692], [0.0000, 0.5000, 0.3318], [0.0000, 0.0000, 0.0000], [0.5000, 0.5000, 0.0000], [0.5000, 0.0000, 0.6682], [0.0000, 0.0000, 0.5000], [0.0000, 0.5000, 0.1134], [0.5000, 0.0000, 0.8866], [0.5000, 0.5000, 0.5000]]}



10.
{"formula": "CoNi2RuC", "functional": "PBE", "state": "optimized geometry", "formation_energy_ev_per_atom": 2.633, "lattice": [[-0.5220, 1.1082, -4.2565], [-1.5107, -4.0708, -0.8746], [-4.1321, 1.3491, 0.8580]], "species": ["Ni", "Ni", "C", "Co", "Ru"], "fractional_positions": [[0.5000, 0.0000, 0.0000], [0.0000, 0.5000, 0.0000], [0.5000, 0.5000, 0.5000], [0.0000, 0.0000, 0.5000], [0.0000, 0.0000, 0.0000]]}



11.
{"formula": "Ge2BiBP", "functional": "PBE", "state": "optimized geometry", "formation_energy_ev_per_atom": 0.650, "lattice": [[-4.4409, -0.3578, -0.4284], [-0.3816, -0.6734, 4.5183], [-0.4156, 4.4128, 0.6226]], "species": ["P", "Ge", "Ge", "B", "Bi"], "fractional_positions": [[0.0000, 0.5000, 0.0000], [0.0000, 0.0000, 0.5000], [0.5000, 0.0000, 0.0000], [0.0000, 0.0000, 0.0000], [0.5000, 0.5000, 0.5000]]}



12.
{"formula": "Sc2MnPd", "functional": "PBE", "state": "optimized geometry", "formation_energy_ev_per_atom": 0.122, "lattice": [[1.1764, 7.5068, 4.8990], [3.0560, 5.6116, 6.3959], [4.0386, 7.0860, 3.9006]], "species": ["Pd", "Sc", "Sc", "Mn"], "fractional_positions": [[0.0000, 0.0000, 0.0000], [0.9045, 0.9045, 0.9045], [0.0955, 0.0955, 0.0955], [0.5000, 0.5000, 0.5000]]}